DFT (PBE with a Hubbard U) results for a geometry-optimized Ca2MgMnO4 structure.

Properties
Volume in A^3/atom: 12.28
E in eV for the cell shown: -105.95
Symmetry: No. 74

```
Ca2MgMnO4
1.0
-3.254 3.273 4.614
3.254 -3.273 4.614
3.254 3.273 -4.614
Ca Mg Mn O
4 2 2 8
direct
0.000 0.000 0.000
0.500 0.000 0.000
0.500 0.000 0.500
0.500 0.500 0.500
0.000 0.000 0.500
0.000 0.500 0.000
0.000 0.500 0.500
0.500 0.500 0.000
0.231 0.747 0.484
0.238 0.253 0.984
0.241 0.249 0.508
0.241 0.733 0.992
0.759 0.267 0.008
0.759 0.751 0.492
0.762 0.747 0.016
0.769 0.253 0.516
```

---

DFT (PBE with a Hubbard U) results for a geometry-optimized CaMg2MnO4 structure.

Properties
Volume in A^3/atom: 12.06
E in eV for the cell shown: -101.59
Symmetry: No. 63

```
CaMg2MnO4
1.0
1.561 -5.446 0.000
1.561 5.446 0.000
0.000 0.000 11.352
Ca Mg Mn O
2 4 2 8
direct
0.148 0.852 0.750
0.852 0.148 0.250
0.371 0.629 0.522
0.371 0.629 0.978
0.629 0.371 0.022
0.629 0.371 0.478
0.117 0.883 0.250
0.883 0.117 0.750
0.000 0.000 0.000
0.000 0.000 0.500
0.244 0.756 0.113
0.244 0.756 0.387
0.497 0.503 0.750
0.503 0.497 0.250
0.756 0.244 0.613
0.756 0.244 0.887
```

---

DFT (PBE with a Hubbard U) results for a geometry-optimized CaMgMn2O4 structure.

Properties
Volume in A^3/atom: 13.93
E in eV for the cell shown: -110.85
Symmetry: No. 121

```
CaMgMn2O4
1.0
5.251 0.000 0.000
0.000 5.251 0.000
0.000 0.000 8.086
Ca Mg Mn O
2 2 4 8
direct
0.000 0.000 0.000
0.500 0.500 0.500
0.000 0.000 0.500
0.500 0.500 0.000
0.000 0.500 0.250
0.000 0.500 0.750
0.500 0.000 0.250
0.500 0.000 0.750
0.228 0.228 0.370
0.228 0.772 0.630
0.272 0.272 0.870
0.272 0.728 0.130
0.728 0.272 0.130
0.728 0.728 0.870
0.772 0.228 0.630
0.772 0.772 0.370
```